No. 1
A relaxed NaCdBiPt2 crystal, computed with PBE.

```
NaCdBiPt2
1.0
5.158 0.000 0.000
0.000 5.158 0.000
0.000 0.000 5.515
Na Cd Bi Pt
1 1 1 2
Direct
0.000 0.000 0.000 Na
0.500 0.500 0.000 Cd
0.000 0.000 0.500 Bi
0.000 0.500 0.500 Pt
0.500 0.000 0.500 Pt
```

Calculated values
Fermi-level density of states (states/eV/cell): 3.5
Space-group type: P4/mmm (123)

No. 2
A relaxed NaCdBiPt crystal, computed with PBE.

```
NaCdBiPt
1.0
0.000 3.488 3.488
3.488 0.000 3.488
3.488 3.488 0.000
Na Cd Bi Pt
1 1 1 1
Direct
0.000 0.000 0.000 Na
0.750 0.750 0.750 Cd
0.250 0.250 0.250 Bi
0.500 0.500 0.500 Pt
```

Calculated values
Fermi-level density of states (states/eV/cell): 1.9
Space-group type: F-43m (216)

Here are the calculated magnetization numbers, same order: 0.0 0.0 (μB per cell).
Here are the calculated E_form numbers, same order: 0.600 -0.191 (eV/atom).